First-principles (GGA-PBE) data for a geometry-optimized Nd3Er6Sc2 structure, as listed in Alexandria via LeMat-Bulk.

Summary:
Density of states at the Fermi level, states/eV per atom: 1.9593
ΔE_f, eV per atom: 0.675

Cell and atoms, written as CIF:
```
data_Nd3Er6Sc2
_symmetry_space_group_name_H-M 'R -3 m'
_symmetry_Int_Tables_number 166
_symmetry_space_group_name_Hall '-R 3 2"'
_cell_length_a 4.5858
_cell_length_b 4.5858
_cell_length_c 60.9737
_cell_angle_alpha 90.00
_cell_angle_beta 90.00
_cell_angle_gamma 120.00
loop_
_atom_site_label
_atom_site_type_symbol
_atom_site_fract_x
_atom_site_fract_y
_atom_site_fract_z
Nd1 Nd 0.0000 0.0000 0.0000
Nd2 Nd 0.0000 0.0000 0.0797
Er1 Er 0.0000 0.0000 0.1486
Er2 Er 0.0000 0.0000 0.3048
Er3 Er 0.0000 0.0000 0.4474
Sc1 Sc 0.0000 0.0000 0.3859
```